CsCuRu2Se (PBE-GGA, optimized geometry); spin magnetization = 1.6 μB/f.u.; DOS at the Fermi energy = 7.110 states/eV/cell; E_tot = -4.42 eV per atom; space-group type = No. 123; volume = 22.66 A^3/atom
1.0
-1.7670 -1.0041 -4.2747
-1.6496 -4.4582 1.7291
-4.1108 1.9981 1.2298
Cu Cs Se Ru
1 1 1 2
Cartesian
-0.8248 -2.2291 0.8646
-3.7637 -1.7321 -0.6579
0.0000 0.0000 0.0000
-2.0554 0.9991 0.6149
-0.8835 -0.5021 -2.1374